1.
# LiCd2H2, optimized geometry, DFT GGA-PBE
# * E: -2.0419 eV per atom
# * offset from the most stable computed form: 0.000 eV/atom
# * M_tot: 0.000 μB/atom
data_LiCd2H2
_chemical_formula_sum 'Li2 Cd4 H4'
_cell_length_a 5.775
_cell_length_b 5.775
_cell_length_c 4.110
_cell_angle_alpha 90.00
_cell_angle_beta 90.00
_cell_angle_gamma 90.00
_space_group_name_H-M_alt 'P 1'
_space_group_IT_number 1
loop_
_space_group_symop_operation_xyz
'x,y,z'
loop_
_atom_site_label
_atom_site_fract_x
_atom_site_fract_y
_atom_site_fract_z
Li1 0.000 0.000 0.000
Li2 0.500 0.500 0.000
Cd1 0.184 0.316 0.500
Cd2 0.316 0.816 0.500
Cd3 0.684 0.184 0.500
Cd4 0.816 0.684 0.500
H1 0.210 0.290 0.000
H2 0.290 0.790 0.000
H3 0.710 0.210 0.000
H4 0.790 0.710 0.000

---

2.
# LiCd2H2, optimized geometry, DFT GGA-PBE
# * E: -1.7069 eV per atom
# * offset from the most stable computed form: 0.335 eV/atom
# * M_tot: 0.000 μB/atom
data_LiCd2H2
_chemical_formula_sum 'Li2 Cd4 H4'
_cell_length_a 7.486
_cell_length_b 7.486
_cell_length_c 3.062
_cell_angle_alpha 90.00
_cell_angle_beta 90.00
_cell_angle_gamma 90.00
_space_group_name_H-M_alt 'P 1'
_space_group_IT_number 1
loop_
_space_group_symop_operation_xyz
'x,y,z'
loop_
_atom_site_label
_atom_site_fract_x
_atom_site_fract_y
_atom_site_fract_z
Li1 0.000 0.000 0.000
Li2 0.500 0.500 0.000
Cd1 0.129 0.371 0.000
Cd2 0.371 0.871 0.000
Cd3 0.629 0.129 0.000
Cd4 0.871 0.629 0.000
H1 0.245 0.255 0.500
H2 0.255 0.755 0.500
H3 0.745 0.245 0.500
H4 0.755 0.745 0.500